(1)
The following is a DFT calculation (PBE-GGA) of an optimized crystal structure of Al2B6Mo.

Cell and atoms, written as CIF:
```
data_Al2B6Mo
_chemical_formula_sum 'Al8 B24 Mo4'
_space_group_name_H-M_alt 'P b a m'
_space_group_IT_number 55
_cell_length_a 9.014
_cell_length_b 10.690
_cell_length_c 3.480
_cell_angle_alpha 90.00
_cell_angle_beta 90.00
_cell_angle_gamma 90.00
loop_
_space_group_symop_operation_xyz
'x,y,z'
'-x,-y,-z'
'-x,-y,z'
'x,y,-z'
'x+1/2,-y+1/2,-z'
'-x+1/2,y+1/2,z'
'-x+1/2,y+1/2,-z'
'x+1/2,-y+1/2,z'
loop_
_atom_site_label
_atom_site_type_symbol
_atom_site_fract_x
_atom_site_fract_y
_atom_site_fract_z
Al1 Al 0.049 0.129 0.000
Al2 Al 0.132 0.408 0.000
B1 B 0.012 0.291 0.500
B2 B 0.065 0.559 0.500
B3 B 0.088 0.977 0.500
B4 B 0.134 0.826 0.500
B5 B 0.194 0.250 0.500
B6 B 0.230 0.078 0.500
Mo1 Mo 0.155 0.678 0.000
```

Results
VASP energy (eV per atom): -6.484

(2)
The following is a DFT calculation (PBE-GGA) of an optimized crystal structure of Li4In2CuAg.

Cell and atoms, written as CIF:
```
data_Li4In2CuAg
_chemical_formula_sum 'Li4 In2 Cu1 Ag1'
_space_group_name_H-M_alt 'P -4 m 2'
_space_group_IT_number 115
_cell_length_a 4.509
_cell_length_b 4.509
_cell_length_c 6.408
_cell_angle_alpha 90.00
_cell_angle_beta 90.00
_cell_angle_gamma 90.00
loop_
_space_group_symop_operation_xyz
'x,y,z'
'y,-x,-z'
'-x,-y,z'
'-y,x,-z'
'-x,y,z'
'-y,-x,-z'
'x,-y,z'
'y,x,-z'
loop_
_atom_site_label
_atom_site_type_symbol
_atom_site_fract_x
_atom_site_fract_y
_atom_site_fract_z
Li1 Li 0.000 0.000 0.000
Li2 Li 0.000 0.500 0.742
Li3 Li 0.500 0.500 0.500
In1 In 0.000 0.500 0.268
Cu1 Cu 0.000 0.000 0.500
Ag1 Ag 0.500 0.500 0.000
```

Results
VASP energy (eV per atom): -2.708

(3)
The following is a DFT calculation (PBE-GGA) of an optimized crystal structure of PrNbAu.

Cell and atoms, written as CIF:
```
data_PrNbAu
_chemical_formula_sum 'Pr4 Nb4 Au4'
_space_group_name_H-M_alt 'F -4 3 m'
_space_group_IT_number 216
_space_group_name_Hall 'F -4 2 3'
_cell_length_a 6.908
_cell_length_b 6.908
_cell_length_c 6.908
_cell_angle_alpha 90.00
_cell_angle_beta 90.00
_cell_angle_gamma 90.00
loop_
_atom_site_label
_atom_site_type_symbol
_atom_site_fract_x
_atom_site_fract_y
_atom_site_fract_z
Pr1 Pr 0.000 0.000 0.000
Nb1 Nb 0.250 0.250 0.250
Au1 Au 0.250 0.250 0.750
```

Results
VASP energy (eV per atom): -5.125
Calculated formation energy (eV/atom): 0.920
Polymorph energy (0 for the lowest one) (meV/atom): 334

(4)
The following is a DFT calculation (PBE-GGA) of an optimized crystal structure of Sm2SbPt8.

Cell and atoms, written as CIF:
```
data_Sm2SbPt8
_chemical_formula_sum 'Sm4 Sb2 Pt16'
_space_group_name_H-M_alt 'A m m 2'
_space_group_IT_number 38
_cell_length_a 4.327
_cell_length_b 17.749
_cell_length_c 5.586
_cell_angle_alpha 90.00
_cell_angle_beta 90.00
_cell_angle_gamma 90.00
loop_
_space_group_symop_operation_xyz
'x,y,z'
'-x,-y,z'
'-x,y,z'
'x,-y,z'
'x,y+1/2,z+1/2'
'-x,-y+1/2,z+1/2'
'-x,y+1/2,z+1/2'
'x,-y+1/2,z+1/2'
loop_
_atom_site_label
_atom_site_type_symbol
_atom_site_fract_x
_atom_site_fract_y
_atom_site_fract_z
Sm1 Sm 0.000 0.129 0.000
Sb1 Sb 0.500 0.000 0.310
Pt1 Pt 0.000 0.000 0.579
Pt2 Pt 0.000 0.204 0.520
Pt3 Pt 0.500 0.000 0.877
Pt4 Pt 0.500 0.118 0.566
Pt5 Pt 0.500 0.244 0.270
```

Results
VASP energy (eV per atom): -6.373